PBEsol Ba3CuSb2O9, relaxed; VASP energy = -193.5 eV per cell; density of states at the Fermi level = 3.02 states/eV/cell; ΔE_f (raw) = -1.973 eV/atom; space-group type = P6_3mc, No. 186
1.0
-1.507 -5.468 -1.217
5.605 1.468 0.287
0.107 -3.150 14.023
O Ba Sb Cu
18 6 4 2
direct
0.163 0.837 0.925
0.509 0.018 0.249
0.491 0.509 0.749
0.837 0.675 0.425
0.669 0.835 0.587
0.163 0.325 0.925
0.982 0.491 0.249
0.675 0.837 0.925
0.018 0.509 0.749
0.837 0.163 0.425
0.835 0.165 0.087
0.835 0.669 0.087
0.491 0.982 0.749
0.165 0.835 0.587
0.509 0.491 0.249
0.325 0.163 0.425
0.165 0.331 0.587
0.331 0.165 0.087
0.000 0.000 0.259
0.333 0.667 0.396
0.667 0.333 0.896
0.000 0.000 0.759
0.667 0.333 0.591
0.333 0.667 0.091
0.667 0.333 0.167
0.000 0.000 0.502
0.333 0.667 0.667
0.000 0.000 0.002
0.667 0.333 0.354
0.333 0.667 0.854